[1]
VASP calculation (PBE) on a relaxed structure of BeVH2.

Cell and atoms, written as POSCAR:
```
BeVH2
1.0
-1.865 1.865 4.042
1.865 -1.865 4.042
1.865 1.865 -4.042
Be V H
2 2 4
Cartesian
0.000 0.000 0.000
0.000 1.865 2.021
1.865 0.000 2.021
0.000 0.000 4.042
2.797 0.781 -1.010
0.781 0.932 1.010
-0.932 1.083 3.031
1.083 0.932 5.052
```

Calculated values
Total energy: -4.804 eV per atom
Size of the total moment: 0.0 μB per formula unit
Fermi-level density of states: 2.91 states/eV/cell
Space-group type: I-42d
Energy relative to the lowest polymorph listed for this composition: 86 meV/atom

---

[2]
VASP calculation (PBE) on a relaxed structure of Nd3Sm3ScS8.

Cell and atoms, written as POSCAR:
```
Nd3Sm3ScS8
1.0
4.000 2.309 6.569
-4.000 2.309 6.569
0.000 -4.619 6.569
Nd Sm Sc S
3 3 1 8
Cartesian
-2.000 -1.155 6.569
-2.000 1.155 13.137
0.000 2.309 6.569
-4.000 0.000 9.853
-2.000 1.155 3.284
2.000 1.155 3.284
0.000 0.000 9.853
0.000 0.000 4.891
-1.904 -1.099 11.384
0.000 -2.199 8.321
-1.904 1.099 8.321
1.904 -1.099 11.384
0.000 2.199 11.384
1.904 1.099 8.321
0.000 0.000 14.814
```

Calculated values
Total energy: -6.552 eV per atom
Size of the total moment: 0.0 μB per formula unit
Fermi-level density of states: 7.59 states/eV/cell
Space-group type: R-3m
Formation energy from raw total energies: -2031 meV per atom